*a*
ErMnNi2: relaxed, GGA-PBE.

Output
Total magnetic moment: 3.2 μB/cell

abc: 5.066 5.066 5.066
angles: 47.67 47.67 47.67
Atoms (fractional coordinates):
1 Er 0.000 0.000 0.000
2 Mn 0.500 0.500 0.500
3 Ni 0.204 0.204 0.204
4 Ni 0.796 0.796 0.796

*b*
ErMnNi2: relaxed, GGA-PBE.

Output
Total magnetic moment: 4.5 μB/cell

abc: 4.449 4.449 4.449
angles: 60.00 60.00 60.00
Atoms (fractional coordinates):
1 Er 0.000 0.000 0.000
2 Mn 0.500 0.500 0.500
3 Ni 0.250 0.250 0.250
4 Ni 0.750 0.750 0.750

Of them, the most stable is *a* and the least stable is *b*.